Entry 1:
Compound: Cu2Pd12Au5
Source: Alexandria
Functional: PBE-GGA
Structure: optimized geometry

* ΔE to the lowest computed polymorph: 0.022 eV per atom
* density of states at the Fermi level: 21.36 states/eV/f.u.
* mass density: 12.65 g/cm³

Unit cell a=17.5654 b=5.5069 c=6.9457 alpha=90.00 beta=111.01 gamma=90.00
Last column: nearest neighbours and their distance in Å.
Space group C2/m (No. 12)
Unique sites:
1 Cu 0.0000 0.2415 0.0000 [4 per cell]  6 Pd 2.59-2.86, 2 Cu 2.66-2.85, 2 Au 2.82
2 Pd 0.0474 0.0000 0.6966 [4 per cell]  5 Pd 2.64-2.83, 1 Au 2.69, 2 Cu 2.86
3 Pd 0.1004 0.2435 0.3780 [8 per cell]  1 Cu 2.59, 4 Au 2.63-2.86, 5 Pd 2.68-2.87
4 Pd 0.1354 0.5000 0.0593 [4 per cell]  2 Cu 2.67, 3 Au 2.77-2.89, 4 Pd 2.79-2.87
5 Pd 0.1967 0.2520 0.7958 [8 per cell]  6 Pd 2.73-2.83, 4 Au 2.83-2.94
6 Au 0.0000 0.5000 0.5000 [2 per cell]  4 Pd 2.63
7 Au 0.1503 0.0000 0.0911 [4 per cell]  9 Pd 2.69-2.86, 2 Cu 2.82, 1 Au 2.86
8 Au 0.2457 0.5000 0.4833 [4 per cell]  3 Au 2.76-2.86, 9 Pd 2.78-2.94

---

Entry 2:
Compound: Cu2Pd5Au5
Source: Alexandria
Functional: PBE-GGA
Structure: optimized geometry

* ΔE to the lowest computed polymorph: 0.000 eV per atom
* density of states at the Fermi level: 4.52 states/eV/f.u.
* mass density: 14.22 g/cm³

Unit cell a=12.1498 b=3.9899 c=8.9260 alpha=90.00 beta=117.42 gamma=90.00
Last column: nearest neighbours and their distance in Å.
Space group C2/m (No. 12)
Unique sites:
1 Cu 0.1660 0.0000 0.4987 [4 per cell]  5 Pd 2.73-2.84, 5 Au 2.73-2.83, 2 Cu 2.85
2 Pd 0.0000 0.5000 0.5000 [2 per cell]  6 Au 2.77-2.78, 2 Pd 2.79, 4 Cu 2.84
3 Pd 0.0907 0.5000 0.2639 [4 per cell]  3 Cu 2.73, 6 Au 2.79-2.89, 3 Pd 2.79-2.93
4 Pd 0.1674 0.5000 0.0001 [4 per cell]  4 Pd 2.83-2.93, 8 Au 2.85-2.94
5 Au 0.0000 0.0000 0.0000 [2 per cell]  8 Pd 2.85-2.89, 4 Au 2.87
6 Au 0.0799 0.0000 0.7438 [4 per cell]  2 Cu 2.77-2.83, 7 Pd 2.78-2.86, 3 Au 2.87-2.88
7 Au 0.2485 0.5000 0.7359 [4 per cell]  3 Cu 2.73-2.74, 6 Pd 2.77-2.94, 3 Au 2.87-2.88

---

Entry 3:
Compound: Cu6Pd4Au
Source: Alexandria
Functional: PBE-GGA
Structure: optimized geometry

* density of states at the Fermi level: 4.06 states/eV/f.u.
* mass density: 9.96 g/cm³
* calculated total energy: -4.24 eV per atom

Unit cell a=5.7199 b=5.7199 c=10.2337 alpha=90.00 beta=90.00 gamma=90.00
Last column: nearest neighbours and their distance in Å.
Space group I-42m (No. 121)
Unique sites:
1 Cu 0.0000 0.5000 0.0000 [4 per cell]  4 Cu 2.34
2 Cu 0.1591 0.1591 0.0886 [8 per cell]  5 Cu 2.34-2.57, 3 Pd 2.49-2.58
3 Pd 0.2488 0.2488 0.3211 [8 per cell]  5 Cu 2.49-2.73, 1 Au 2.72
4 Au 0.0000 0.0000 0.5000 [2 per cell]  4 Pd 2.72, 8 Cu 2.86-2.90

---

Entry 4:
Compound: Cu5Pd12Au2
Source: Alexandria
Functional: PBE-GGA
Structure: optimized geometry

* ΔE to the lowest computed polymorph: 0.000 eV per atom
* density of states at the Fermi level: 28.22 states/eV/f.u.
* mass density: 11.14 g/cm³

Unit cell a=14.7676 b=8.9224 c=4.6882 alpha=90.00 beta=106.36 gamma=90.00
Last column: nearest neighbours and their distance in Å.
Space group C2/m (No. 12)
Unique sites:
1 Cu 0.0000 0.0000 0.0000 [2 per cell]  6 Pd 2.54-2.62
2 Cu 0.2008 0.0000 0.0929 [4 per cell]  3 Cu 2.59-2.87, 9 Pd 2.61-2.88
3 Cu 0.2010 0.5000 0.3547 [4 per cell]  2 Cu 2.59-2.87, 9 Pd 2.65-2.82
4 Pd 0.1010 0.0000 0.5375 [4 per cell]  3 Cu 2.54-2.82, 2 Pd 2.68, 2 Au 2.78
5 Pd 0.1014 0.2455 0.1059 [8 per cell]  3 Cu 2.62-2.78, 2 Au 2.69-2.82, 5 Pd 2.72-2.88
6 Pd 0.1087 0.5000 0.7823 [4 per cell]  3 Cu 2.65-2.72, 4 Pd 2.72-2.75, 2 Au 2.74
7 Pd 0.2036 0.2492 0.7055 [8 per cell]  7 Pd 2.66-2.79, 4 Cu 2.67-2.88, 1 Au 2.89
8 Au 0.0000 0.2658 0.5000 [4 per cell]  10 Pd 2.69-2.89